NpNbCdO6: optimized geometry, PBE-GGA.

Output
- Formation energy from raw total energies: -20.921 eV/f.u.
- N(E_F): 0.658 states/eV per atom

Cell: 5.570 5.570 9.514 Å, 90.00 90.00 120.00°
Atoms (fractional coordinates):
O (0.366, 0.014, 0.638)
O (0.648, 0.014, 0.862)
O (0.014, 0.366, 0.138)
O (0.014, 0.648, 0.362)
O (0.366, 0.352, 0.862)
O (0.634, 0.986, 0.362)
O (0.352, 0.366, 0.362)
O (0.986, 0.634, 0.862)
O (0.986, 0.352, 0.638)
O (0.648, 0.634, 0.638)
O (0.352, 0.986, 0.138)
O (0.634, 0.648, 0.138)
Cd (0.000, 0.000, 0.000)
Cd (0.000, 0.000, 0.500)
Np (0.667, 0.333, 0.250)
Np (0.333, 0.667, 0.750)
Nb (0.667, 0.333, 0.750)
Nb (0.333, 0.667, 0.250)